Record 1
## Li4CdGa2Ni (PBE)

Data for an optimized crystal structure of Li4CdGa2Ni.

a = 4.2945 Å, b = 4.2945 Å, c = 6.2205 Å
α = 90.00°, β = 90.00°, γ = 90.00°
Atoms (fractional coordinates):
Cd1 0.0000 0.0000 0.5000
Ga1 0.0000 0.5000 0.2094
Ga2 0.5000 0.0000 0.7906
Li1 0.0000 0.0000 0.0000
Li2 0.5000 0.0000 0.2286
Li3 0.5000 0.5000 0.5000
Li4 0.0000 0.5000 0.7715
Ni1 0.5000 0.5000 0.0000

Output
- Spin magnetization: 0.00 μB/f.u.

---

Record 2
## Li2Cd2Ga2NiPt (PBE)

Data for an optimized crystal structure of Li2Cd2Ga2NiPt.

a = 4.3981 Å, b = 4.3981 Å, c = 6.2723 Å
α = 90.00°, β = 90.00°, γ = 90.00°
Atoms (fractional coordinates):
Cd1 0.0000 0.5000 0.2343
Cd2 0.5000 0.0000 0.7657
Ga1 0.5000 0.0000 0.2408
Ga2 0.0000 0.5000 0.7592
Li1 0.5000 0.5000 0.0000
Li2 0.0000 0.0000 0.5000
Ni1 0.0000 0.0000 0.0000
Pt1 0.5000 0.5000 0.5000

Output
- Spin magnetization: 0.00 μB/f.u.

---

Record 3
## Li4Cd2GaPb (PBE)

Data for an optimized crystal structure of Li4Cd2GaPb.

a = 4.7021 Å, b = 4.7021 Å, c = 6.7118 Å
α = 90.00°, β = 90.00°, γ = 90.00°
Atoms (fractional coordinates):
Cd1 0.0000 0.5000 0.2234
Cd2 0.5000 0.0000 0.7766
Ga1 0.0000 0.0000 0.0000
Li1 0.5000 0.5000 0.0000
Li2 0.5000 0.0000 0.2356
Li3 0.0000 0.0000 0.5000
Li4 0.0000 0.5000 0.7644
Pb1 0.5000 0.5000 0.5000

---

Record 4
## Li4CdGa2Pd (PBE)

Data for an optimized crystal structure of Li4CdGa2Pd.

a = 4.3909 Å, b = 4.3909 Å, c = 6.3032 Å
α = 90.00°, β = 90.00°, γ = 90.00°
Atoms (fractional coordinates):
Cd1 0.5000 0.5000 0.0000
Ga1 0.0000 0.5000 0.2756
Ga2 0.5000 0.0000 0.7244
Li1 0.0000 0.0000 0.0000
Li2 0.5000 0.0000 0.2655
Li3 0.5000 0.5000 0.5000
Li4 0.0000 0.5000 0.7345
Pd1 0.0000 0.0000 0.5000

---

Final energy (computed, eV/cell): -22.5, -26.3, -18.4, -23.1